# SrLaO3 (PBE, relaxed)
data_SrLaO3
_chemical_formula_sum 'Sr1 La1 O3'
_cell_length_a 4.494
_cell_length_b 4.494
_cell_length_c 4.494
_cell_angle_alpha 90.00
_cell_angle_beta 90.00
_cell_angle_gamma 90.00
_symmetry_space_group_name_H-M 'P m -3 m'
_symmetry_Int_Tables_number 221
_symmetry_space_group_name_Hall '-P 4 2 3'
loop_
_atom_site_label
_atom_site_type_symbol
_atom_site_fract_x
_atom_site_fract_y
_atom_site_fract_z
Sr1 Sr 0.000 0.000 0.000
La1 La 0.500 0.500 0.500
O1 O 0.000 0.500 0.500
# Electronic total energy (eV per cell): -33.63
# Formation energy (no corrections) (eV per atom): -2.429
# D(E_F) (states/eV/atom): 0.24

***

# K3NaNp3Se8 (PBE, relaxed)
data_K3NaNp3Se8
_chemical_formula_sum 'K9 Na3 Np9 Se24'
_cell_length_a 8.4205
_cell_length_b 8.4205
_cell_length_c 22.9610
_cell_angle_alpha 90.00
_cell_angle_beta 90.00
_cell_angle_gamma 120.00
_symmetry_space_group_name_H-M 'R -3 m'
_symmetry_Int_Tables_number 166
_symmetry_space_group_name_Hall '-R 3 2"'
loop_
_atom_site_label
_atom_site_type_symbol
_atom_site_fract_x
_atom_site_fract_y
_atom_site_fract_z
K1 K 0.0000 0.5000 0.0000
Na1 Na 0.0000 0.0000 0.5000
Np1 Np 0.0000 0.5000 0.5000
Se1 Se 0.0000 0.0000 0.2353
Se2 Se 0.0233 0.5117 0.7666
# Electronic total energy (eV per cell): -267.21
# Formation energy (no corrections) (eV per atom): -1.184
# D(E_F) (states/eV/atom): 1.82

***

# La2IBr2 (PBE, relaxed)
data_La2IBr2
_chemical_formula_sum 'La4 I2 Br4'
_cell_length_a 8.867
_cell_length_b 8.867
_cell_length_c 3.828
_cell_angle_alpha 90.00
_cell_angle_beta 90.00
_cell_angle_gamma 90.00
_symmetry_space_group_name_H-M 'P 4/m b m'
_symmetry_Int_Tables_number 127
_symmetry_space_group_name_Hall '-P 4 2ab'
loop_
_atom_site_label
_atom_site_type_symbol
_atom_site_fract_x
_atom_site_fract_y
_atom_site_fract_z
La1 La 0.161 0.339 0.000
I1 I 0.000 0.000 0.000
Br1 Br 0.135 0.635 0.500
# Electronic total energy (eV per cell): -42.64
# Formation energy (no corrections) (eV per atom): -1.314
# D(E_F) (states/eV/atom): 1.01
# E above lowest polymorph (meV/atom): 160

***

# Zr7Sn2Ge2 (PBE, relaxed)
data_Zr7Sn2Ge2
_chemical_formula_sum 'Zr14 Sn4 Ge4'
_cell_length_a 8.189
_cell_length_b 10.112
_cell_length_c 6.339
_cell_angle_alpha 90.00
_cell_angle_beta 90.00
_cell_angle_gamma 90.00
_symmetry_space_group_name_H-M 'C m m m'
_symmetry_Int_Tables_number 65
_symmetry_space_group_name_Hall '-C 2 2'
loop_
_atom_site_label
_atom_site_type_symbol
_atom_site_fract_x
_atom_site_fract_y
_atom_site_fract_z
Zr1 Zr 0.000 0.000 0.000
Zr2 Zr 0.000 0.500 0.253
Zr3 Zr 0.250 0.250 0.262
Sn1 Sn 0.179 0.000 0.500
Ge1 Ge 0.000 0.275 0.000
# Electronic total energy (eV per cell): -159.16
# Formation enthalpy at 0 K (meV/atom): -227
# D(E_F) (states/eV/atom): 0.89